Entry 1:
DFT (PBE) results for Li3Cd2Hg6 after structural relaxation.

The total magnetization is 0.00 μB/f.u. The calculation puts the formation energy at -0.124 eV/atom.

It has space group I4/mmm (No. 139), with a = 4.472 Å, b = 4.472 Å, c = 26.125 Å, α = 90.00°, β = 90.00° and γ = 90.00°. Symmetry generates all atoms from Li at (0.000, 0.000, 0.000), Li at (0.000, 0.000, 0.131), Cd at (0.000, 0.000, 0.349), Hg at (0.000, 0.000, 0.234) and Hg at (0.000, 0.500, 0.062).

=====

Entry 2:
DFT (PBE) results for Li2Cd2Hg5 after structural relaxation.

The total magnetization is 0.00 μB/f.u. The calculation puts the formation energy at -0.134 eV/atom.

It has space group P-1 (No. 2), with a = 5.326 Å, b = 5.750 Å, c = 7.706 Å, α = 104.31°, β = 106.26° and γ = 103.33°. Symmetry generates all atoms from Li at (0.105, 0.208, 0.231), Cd at (0.479, 0.809, 0.322), Hg at (0.133, 0.335, 0.889), Hg at (0.295, 0.604, 0.608) and Hg at (0.500, 0.000, 0.000).

=====

Entry 3:
DFT (PBE) results for Li2CdHg after structural relaxation.

The total magnetization is 0.00 μB/f.u. The calculation puts the formation energy at -0.238 eV/atom.

It has space group Pmm2 (No. 25), with a = 3.122 Å, b = 4.031 Å, c = 6.164 Å, α = 90.00°, β = 90.00° and γ = 90.00°. Symmetry generates all atoms from Li at (0.000, 0.000, 0.000), Li at (0.500, 0.500, 0.265), Cd at (0.000, 0.000, 0.486) and Hg at (0.500, 0.500, 0.799).

=====

Entry 4:
DFT (PBE) results for Li2CdHg after structural relaxation.

The total magnetization is 0.00 μB/f.u. The calculation puts the formation energy at -0.310 eV/atom.

It has space group Pmmm (No. 47), with a = 3.356 Å, b = 3.378 Å, c = 6.498 Å, α = 90.00°, β = 90.00° and γ = 90.00°. Symmetry generates all atoms from Li at (0.000, 0.000, 0.242), Cd at (0.500, 0.500, 0.500) and Hg at (0.500, 0.500, 0.000).

=====

Entry 5:
DFT (PBE) results for Li2Cd4Hg after structural relaxation.

The total magnetization is 0.00 μB/f.u. The calculation puts the formation energy at -0.089 eV/atom.

It has space group I4/mmm (No. 139), with a = 7.117 Å, b = 7.117 Å, c = 6.098 Å, α = 90.00°, β = 90.00° and γ = 90.00°. Symmetry generates all atoms from Li at (0.000, 0.500, 0.250), Cd at (0.207, 0.207, 0.000) and Hg at (0.000, 0.000, 0.500).

=====

Entry 6:
DFT (PBE) results for Li2Cd5Hg12 after structural relaxation.

The total magnetization is 0.00 μB/f.u. The calculation puts the formation energy at -0.065 eV/atom.

It has space group C2/m (No. 12), with a = 21.416 Å, b = 8.591 Å, c = 5.008 Å, α = 90.00°, β = 94.11° and γ = 90.00°. Symmetry generates all atoms from Li at (0.000, 0.221, 0.000), Cd at (0.000, 0.000, 0.500), Cd at (0.195, 0.000, 0.671), Cd at (0.198, 0.500, 0.728), Hg at (0.074, 0.500, 0.094), Hg at (0.085, 0.278, 0.592), Hg at (0.098, 0.000, 0.077) and Hg at (0.198, 0.262, 0.210).

=====

Entry 7:
DFT (PBE) results for LiCdHg3 after structural relaxation.

The total magnetization is 0.00 μB/f.u. The calculation puts the formation energy at -0.115 eV/atom.

It has space group C2/c (No. 15), with a = 15.318 Å, b = 10.578 Å, c = 5.865 Å, α = 90.00°, β = 90.06° and γ = 90.00°. Symmetry generates all atoms from Li at (0.250, 0.020, 0.049), Cd at (0.000, 0.184, 0.750), Cd at (0.000, 0.316, 0.250), Hg at (0.102, 0.068, 0.318), Hg at (0.102, 0.432, 0.681) and Hg at (0.249, 0.220, 0.749).

=====

Entry 8:
DFT (PBE) results for Li11Cd9Hg4 after structural relaxation.

The total magnetization is 0.00 μB/f.u. The calculation puts the formation energy at -0.259 eV/atom.

It has space group Cmmm (No. 65), with a = 13.871 Å, b = 20.087 Å, c = 3.306 Å, α = 90.00°, β = 90.00° and γ = 90.00°. Symmetry generates all atoms from Li at (0.000, 0.000, 0.000), Li at (0.000, 0.169, 0.000), Li at (0.000, 0.360, 0.000), Li at (0.233, 0.176, 0.000), Li at (0.243, 0.000, 0.000), Cd at (0.000, 0.500, 0.500), Cd at (0.112, 0.258, 0.500), Cd at (0.117, 0.084, 0.500) and Hg at (0.159, 0.406, 0.500).

=====

Entry 9:
DFT (PBE) results for Li2Cd3Hg8 after structural relaxation.

The total magnetization is 0.00 μB/f.u. The calculation puts the formation energy at -0.090 eV/atom.

It has space group P2/m (No. 10), with a = 7.214 Å, b = 3.771 Å, c = 11.542 Å, α = 90.00°, β = 103.31° and γ = 90.00°. Symmetry generates all atoms from Li at (0.193, 0.000, 0.210), Cd at (0.000, 0.000, 0.500), Cd at (0.114, 0.500, 0.735), Hg at (0.179, 0.000, 0.947), Hg at (0.288, 0.500, 0.410), Hg at (0.403, 0.000, 0.654) and Hg at (0.440, 0.500, 0.124).

=====

Entry 10:
DFT (PBE) results for LiCd2Hg after structural relaxation.

The total magnetization is 0.00 μB/f.u. The calculation puts the formation energy at -0.115 eV/atom.

It has space group P4/mmm (No. 123), with a = 3.104 Å, b = 3.104 Å, c = 8.934 Å, α = 90.00°, β = 90.00° and γ = 90.00°. Symmetry generates all atoms from Li at (0.000, 0.000, 0.000), Cd at (0.500, 0.500, 0.225) and Hg at (0.000, 0.000, 0.500).

=====

Entry 11:
DFT (PBE) results for Li7CdHg2 after structural relaxation.

The total magnetization is 0.00 μB/f.u. The calculation puts the formation energy at -0.033 eV/atom.

It has space group Cmmm (No. 65), with a = 7.725 Å, b = 14.682 Å, c = 4.040 Å, α = 90.00°, β = 90.00° and γ = 90.00°. Symmetry generates all atoms from Li at (0.000, 0.000, 0.000), Li at (0.000, 0.299, 0.500), Li at (0.187, 0.390, 0.000), Cd at (0.000, 0.500, 0.500) and Hg at (0.000, 0.188, 0.000).

=====

Entry 12:
DFT (PBE) results for Li4Cd3Hg2 after structural relaxation.

The total magnetization is 0.00 μB/f.u. The calculation puts the formation energy at -0.263 eV/atom.

It has space group C2/m (No. 12), with a = 13.752 Å, b = 4.858 Å, c = 5.369 Å, α = 90.00°, β = 107.33° and γ = 90.00°. Symmetry generates all atoms from Li at (0.049, 0.000, 0.264), Li at (0.233, 0.500, 0.646), Cd at (0.000, 0.500, 0.500), Cd at (0.117, 0.500, 0.087) and Hg at (0.156, 0.000, 0.786).